## CsLi2P2 (PBE-GGA)

Data for a relaxed structure of CsLi2P2.

abc: 4.8884 4.8884 5.7717
angles: 64.95 64.95 90.00
Closest atoms and distances in Å follow each position.
Fractional coordinates of all 5 atoms:
Li1 0.2500 0.7500 0.5000  4 P 2.74
Li2 0.7500 0.2500 0.5000  4 P 2.74
Cs1 0.0000 0.0000 0.0000  8 Li 3.36, 10 P 3.54-3.62
P1 0.6172 0.6172 0.7656  1 P 2.17
P2 0.3828 0.3828 0.2344  1 P 2.17

**V**: 22.09 Å³/atom
**DOS(E_F)**: 0.681 states/eV per atom
**Energy of formation**: -0.4228 eV/atom

## Cs2LiP (PBE-GGA)

Data for a relaxed structure of Cs2LiP.

abc: 6.0014 6.0014 6.0014
angles: 60.00 60.00 60.00
Closest atoms and distances in Å follow each position.
Fractional coordinates of all 4 atoms:
Cs1 0.2500 0.2500 0.2500  4 P 3.68, 4 Li 3.68
Cs2 0.7500 0.7500 0.7500  4 P 3.68, 4 Li 3.68
P1 0.5000 0.5000 0.5000  8 Cs 3.68
Li1 0.0000 0.0000 0.0000  8 Cs 3.68

**V**: 38.21 Å³/atom
**DOS(E_F)**: 0.697 states/eV per atom
**Energy of formation**: 0.1720 eV/atom

## CsLiP2 (PBE-GGA)

Data for a relaxed structure of CsLiP2.

abc: 5.2800 5.2800 5.2800
angles: 60.00 60.00 60.00
Closest atoms and distances in Å follow each position.
Fractional coordinates of all 4 atoms:
Li1 0.0000 0.0000 0.0000  8 P 3.23
Cs1 0.5000 0.5000 0.5000  8 P 3.23
P1 0.2500 0.2500 0.2500  4 Cs 3.23, 4 Li 3.23
P2 0.7500 0.7500 0.7500  4 Li 3.23, 4 Cs 3.23

**V**: 26.02 Å³/atom
**DOS(E_F)**: 0.939 states/eV per atom
**Energy of formation**: 0.6243 eV/atom

## CsLiPPd (PBE-GGA)

Data for a relaxed structure of CsLiPPd.

abc: 4.2277 4.2277 6.9756
angles: 72.36 72.36 60.00
Closest atoms and distances in Å follow each position.
Fractional coordinates of all 4 atoms:
P1 0.6227 0.6227 0.1318  3 Pd 2.44, 3 Li 2.55
Li1 0.9942 0.9942 0.0173  3 Pd 2.53, 3 P 2.55
Pd1 0.2939 0.2939 0.1183  3 P 2.44, 3 Li 2.53
Cs1 0.8150 0.8150 0.5549  4 Li 3.51-3.88, 4 P 3.69-3.77, 3 Pd 3.75

**V**: 25.29 Å³/atom
**DOS(E_F)**: 0.359 states/eV per atom
**Energy of formation**: -0.4906 eV/atom

## CsLi2PPd (PBE-GGA)

Data for a relaxed structure of CsLi2PPd.

abc: 4.9444 4.9444 4.8009
angles: 90.00 90.00 90.00
Closest atoms and distances in Å follow each position.
Fractional coordinates of all 5 atoms:
Pd1 0.0000 0.0000 0.5000  2 P 2.40
Cs1 0.5000 0.5000 0.5000  8 Li 3.45, 4 Pd 3.50
Li1 0.0000 0.5000 0.0000  2 P 2.47
Li2 0.5000 0.0000 0.0000  2 P 2.47
P1 0.0000 0.0000 0.0000  2 Pd 2.40, 4 Li 2.47

**V**: 23.47 Å³/atom
**DOS(E_F)**: 0.302 states/eV per atom
**Energy of formation**: -0.3740 eV/atom

## Cs2LiReP (PBE-GGA)

Data for a relaxed structure of Cs2LiReP.

abc: 6.7360 4.4975 6.7360
angles: 90.00 90.00 90.00
Closest atoms and distances in Å follow each position.
Fractional coordinates of all 5 atoms:
Li1 0.0000 0.5000 0.0000  2 P 2.25
Cs1 0.0000 0.0000 0.5000  2 P 3.37
Cs2 0.5000 0.0000 0.0000  2 P 3.37
P1 0.0000 0.0000 0.0000  2 Li 2.25
Re1 0.5000 0.5000 0.5000  8 Cs 4.05, 2 Re 4.50

**V**: 40.81 Å³/atom
**DOS(E_F)**: 0.982 states/eV per atom
**Energy of formation**: 1.1881 eV/atom

## CsLiP2S (PBE-GGA)

Data for a relaxed structure of CsLiP2S.

abc: 4.7857 4.7857 5.0432
angles: 90.00 90.00 90.00
Closest atoms and distances in Å follow each position.
Fractional coordinates of all 5 atoms:
Cs1 0.5000 0.5000 0.5000  4 S 3.38, 8 P 3.48
Li1 0.0000 0.0000 0.0000  4 P 2.39, 2 S 2.52
P1 0.5000 0.0000 0.0000  2 Li 2.39
P2 0.0000 0.5000 0.0000  2 Li 2.39
S1 0.0000 0.0000 0.5000  2 Li 2.52

**V**: 23.10 Å³/atom
**DOS(E_F)**: 0.777 states/eV per atom
**Electronic total energy**: -15.653 eV for the cell shown

## Cs3LiP2S6 (PBE-GGA)

Data for a relaxed structure of Cs3LiP2S6.

abc: 7.2386 7.2386 9.1680
angles: 90.00 90.00 120.00
Closest atoms and distances in Å follow each position.
Fractional coordinates of all 12 atoms:
S1 0.8249 0.6498 0.6901  1 P 2.04
S2 0.1751 0.3502 0.3099  1 P 2.04
S3 0.6498 0.8249 0.3099  1 P 2.04
S4 0.1751 0.8249 0.3099  1 P 2.04
S5 0.3502 0.1751 0.6901  1 P 2.04
S6 0.8249 0.1751 0.6901  1 P 2.04
Cs1 0.6667 0.3333 0.3435  9 S 3.63-3.75, 1 P 3.66
Cs2 0.0000 0.0000 0.0000  6 S 3.59
Cs3 0.3333 0.6667 0.6565  9 S 3.63-3.75, 1 P 3.66
P1 0.6667 0.3333 0.7430  3 S 2.04
P2 0.3333 0.6667 0.2570  3 S 2.04
Li1 0.0000 0.0000 0.5000  6 S 2.80

**V**: 34.67 Å³/atom
**DOS(E_F)**: 0.255 states/eV per atom
**Electronic total energy**: -49.336 eV for the cell shown

no.,magnetic moment (μB per atom)
1,0.000
2,0.000
3,0.000
4,0.000
5,0.000
6,0.962
7,0.074
8,0.000